Computed, not measured: a geometry-optimized Ga2CuPd structure at the GGA-PBE level of DFT.

Unit cell a=4.394 b=4.394 c=4.394 alpha=60.00 beta=60.00 gamma=60.00
Element x y z (fractional)
Ga 0.000 0.000 0.000
Ga 0.250 0.250 0.250
Cu 0.750 0.750 0.750
Pd 0.500 0.500 0.500

Energy: -3.927 eV per atom
Crystal system: cubic
Space-group type: No. 216

Computed, not measured: a geometry-optimized GaCuPd2 structure at the GGA-PBE level of DFT.

Unit cell a=4.342 b=4.342 c=4.342 alpha=60.00 beta=60.00 gamma=60.00
Element x y z (fractional)
Ga 0.000 0.000 0.000
Cu 0.250 0.250 0.250
Pd 0.500 0.500 0.500
Pd 0.750 0.750 0.750

Energy: -4.591 eV per atom
Crystal system: cubic
Space-group type: No. 216

Computed, not measured: a geometry-optimized PrGa5CuPd structure at the GGA-PBE level of DFT.

Unit cell a=6.466 b=6.466 c=6.466 alpha=143.49 beta=112.27 gamma=79.47
Element x y z (fractional)
Pr 0.000 0.000 0.000
Ga 0.166 0.361 0.805
Ga 0.462 0.650 0.811
Ga 0.514 0.014 0.500
Ga 0.556 0.361 0.195
Ga 0.839 0.650 0.189
Cu 0.757 0.257 0.500
Pd 0.264 0.764 0.500

Energy: -4.055 eV per atom
Crystal system: orthorhombic
Space-group type: No. 44

Computed, not measured: a geometry-optimized PrGaCuSnPd structure at the GGA-PBE level of DFT.

Unit cell a=4.415 b=4.415 c=10.574 alpha=90.00 beta=90.00 gamma=90.00
Element x y z (fractional)
Pr 0.250 0.250 0.229
Pr 0.750 0.750 0.771
Ga 0.250 0.250 0.890
Ga 0.750 0.750 0.110
Cu 0.250 0.750 0.000
Cu 0.750 0.250 0.000
Sn 0.250 0.750 0.500
Sn 0.750 0.250 0.500
Pd 0.250 0.250 0.653
Pd 0.750 0.750 0.347

Offset from the most stable computed form: 45 meV/atom
Energy: -4.731 eV per atom
Crystal system: tetragonal
Space-group type: No. 129

Computed, not measured: a geometry-optimized PrGaCuSnPd structure at the GGA-PBE level of DFT.

Unit cell a=4.413 b=4.413 c=10.517 alpha=90.00 beta=90.00 gamma=90.00
Element x y z (fractional)
Pr 0.250 0.250 0.236
Pr 0.750 0.750 0.764
Ga 0.250 0.250 0.878
Ga 0.750 0.750 0.122
Cu 0.250 0.250 0.648
Cu 0.750 0.750 0.352
Sn 0.250 0.750 0.500
Sn 0.750 0.250 0.500
Pd 0.250 0.750 0.000
Pd 0.750 0.250 0.000

Offset from the most stable computed form: 39 meV/atom
Energy: -4.737 eV per atom
Crystal system: tetragonal
Space-group type: No. 129

Computed, not measured: a geometry-optimized PrGaCuSnPd structure at the GGA-PBE level of DFT.

Unit cell a=4.448 b=4.448 c=10.466 alpha=90.00 beta=90.00 gamma=90.00
Element x y z (fractional)
Pr 0.250 0.250 0.249
Pr 0.750 0.750 0.751
Ga 0.250 0.750 0.000
Ga 0.750 0.250 0.000
Cu 0.250 0.750 0.500
Cu 0.750 0.250 0.500
Sn 0.250 0.250 0.634
Sn 0.750 0.750 0.366
Pd 0.250 0.250 0.885
Pd 0.750 0.750 0.115

Offset from the most stable computed form: 0 meV/atom
Energy: -4.776 eV per atom
Crystal system: tetragonal
Space-group type: No. 129

Computed, not measured: a geometry-optimized PrGaCuSnPd structure at the GGA-PBE level of DFT.

Unit cell a=4.430 b=4.430 c=10.434 alpha=90.00 beta=90.00 gamma=90.00
Element x y z (fractional)
Pr 0.250 0.250 0.241
Pr 0.750 0.750 0.759
Ga 0.250 0.750 0.000
Ga 0.750 0.250 0.000
Cu 0.250 0.250 0.893
Cu 0.750 0.750 0.107
Sn 0.250 0.250 0.647
Sn 0.750 0.750 0.353
Pd 0.250 0.750 0.500
Pd 0.750 0.250 0.500

Offset from the most stable computed form: 26 meV/atom
Energy: -4.750 eV per atom
Crystal system: tetragonal
Space-group type: No. 129

Computed, not measured: a geometry-optimized ScGaCuPd structure at the GGA-PBE level of DFT.

Unit cell a=4.487 b=4.487 c=4.487 alpha=60.00 beta=60.00 gamma=60.00
Element x y z (fractional)
Sc 0.000 0.000 0.000
Ga 0.250 0.250 0.250
Cu 0.500 0.500 0.500
Pd 0.750 0.750 0.750

Offset from the most stable computed form: 122 meV/atom
Energy: -5.050 eV per atom
Crystal system: cubic
Space-group type: No. 216

Computed, not measured: a geometry-optimized Sc2Ga4CuPd structure at the GGA-PBE level of DFT.

Unit cell a=6.495 b=5.345 c=5.345 alpha=46.21 beta=90.00 gamma=90.00
Element x y z (fractional)
Sc 0.000 0.000 0.000
Sc 0.500 0.158 0.158
Ga 0.207 0.708 0.708
Ga 0.303 0.451 0.451
Ga 0.697 0.451 0.451
Ga 0.793 0.708 0.708
Cu 0.500 0.874 0.874
Pd 0.000 0.284 0.284

Energy: -4.826 eV per atom
Crystal system: orthorhombic
Space-group type: No. 38

Computed, not measured: a geometry-optimized ScGaCuPd structure at the GGA-PBE level of DFT.

Unit cell a=4.460 b=4.460 c=4.460 alpha=60.00 beta=60.00 gamma=60.00
Element x y z (fractional)
Sc 0.000 0.000 0.000
Ga 0.500 0.500 0.500
Cu 0.750 0.750 0.750
Pd 0.250 0.250 0.250

Offset from the most stable computed form: 0 meV/atom
Energy: -5.171 eV per atom
Crystal system: cubic
Space-group type: No. 216

Computed, not measured: a geometry-optimized GaCuSiPd structure at the GGA-PBE level of DFT.

Unit cell a=4.351 b=4.351 c=4.351 alpha=60.00 beta=60.00 gamma=60.00
Element x y z (fractional)
Ga 0.000 0.000 0.000
Cu 0.250 0.250 0.250
Si 0.750 0.750 0.750
Pd 0.500 0.500 0.500

Offset from the most stable computed form: 90 meV/atom
Energy: -4.360 eV per atom
Crystal system: cubic
Space-group type: No. 216

Computed, not measured: a geometry-optimized GaCuSiPd structure at the GGA-PBE level of DFT.

Unit cell a=4.339 b=4.339 c=4.339 alpha=60.00 beta=60.00 gamma=60.00
Element x y z (fractional)
Ga 0.000 0.000 0.000
Cu 0.750 0.750 0.750
Si 0.500 0.500 0.500
Pd 0.250 0.250 0.250

Offset from the most stable computed form: 0 meV/atom
Energy: -4.449 eV per atom
Crystal system: cubic
Space-group type: No. 216